Entry 1:
VASP calculation (PBE-GGA) on a relaxed structure of Sc4FeSnN2.

The structure in CIF format:
```
data_Sc4FeSnN2
_chemical_formula_sum 'Sc4 Fe1 Sn1 N2'
_space_group_name_H-M_alt 'P -6 m 2'
_space_group_IT_number 187
_space_group_name_Hall 'P -6 2'
_cell_length_a 3.2128
_cell_length_b 3.2128
_cell_length_c 14.1874
_cell_angle_alpha 90.00
_cell_angle_beta 90.00
_cell_angle_gamma 120.00
loop_
_atom_site_label
_atom_site_type_symbol
_atom_site_fract_x
_atom_site_fract_y
_atom_site_fract_z
Sc1 Sc 0.0000 0.0000 0.1493
Sc2 Sc 0.3333 0.6667 0.3252
Fe1 Fe 0.3333 0.6667 0.0000
Sn1 Sn 0.0000 0.0000 0.5000
N1 N 0.6667 0.3333 0.2454
```

***

Entry 2:
VASP calculation (PBE-GGA) on a relaxed structure of Tl2AgOs.

The structure in CIF format:
```
data_Tl2AgOs
_chemical_formula_sum 'Tl8 Ag4 Os4'
_space_group_name_H-M_alt 'F -4 3 m'
_space_group_IT_number 216
_space_group_name_Hall 'F -4 2 3'
_cell_length_a 6.900
_cell_length_b 6.900
_cell_length_c 6.900
_cell_angle_alpha 90.00
_cell_angle_beta 90.00
_cell_angle_gamma 90.00
loop_
_atom_site_label
_atom_site_type_symbol
_atom_site_fract_x
_atom_site_fract_y
_atom_site_fract_z
Tl1 Tl 0.000 0.000 0.000
Tl2 Tl 0.250 0.250 0.250
Ag1 Ag 0.250 0.250 0.750
Os1 Os 0.000 0.000 0.500
```

***

Entry 3:
VASP calculation (PBE-GGA) on a relaxed structure of KGdSe2O8.

The structure in CIF format:
```
data_KGdSe2O8
_chemical_formula_sum 'K1 Gd1 Se2 O8'
_space_group_name_H-M_alt 'P -3 m 1'
_space_group_IT_number 164
_space_group_name_Hall '-P 3 2"'
_cell_length_a 5.6563
_cell_length_b 5.6563
_cell_length_c 7.3171
_cell_angle_alpha 90.00
_cell_angle_beta 90.00
_cell_angle_gamma 120.00
loop_
_atom_site_label
_atom_site_type_symbol
_atom_site_fract_x
_atom_site_fract_y
_atom_site_fract_z
K1 K 0.0000 0.0000 0.0000
Gd1 Gd 0.0000 0.0000 0.5000
Se1 Se 0.3333 0.6667 0.7803
O1 O 0.1751 0.3503 0.6962
O2 O 0.3333 0.6667 0.0041
```

***

Entry 4:
# PBE-GGA Tm2Ag2O5, optimized geometry
# Offset from the most stable computed form ... 331 meV/atom
data_Tm2Ag2O5
_chemical_formula_sum 'Tm2 Ag2 O5'
_space_group_name_H-M_alt 'P 4/m m m'
_space_group_IT_number 123
_space_group_name_Hall '-P 4 2'
_cell_length_a 4.084
_cell_length_b 4.084
_cell_length_c 6.933
_cell_angle_alpha 90.00
_cell_angle_beta 90.00
_cell_angle_gamma 90.00
loop_
_atom_site_label
_atom_site_type_symbol
_atom_site_fract_x
_atom_site_fract_y
_atom_site_fract_z
Tm1 Tm 0.000 0.000 0.000
Tm2 Tm 0.000 0.000 0.500
Ag1 Ag 0.500 0.500 0.191
O1 O 0.000 0.500 0.212
O2 O 0.500 0.500 0.500

***

Entry 5:
# PBE-GGA NdYCo, optimized geometry
# Formation energy from the elements ... 0.787 eV per atom
data_NdYCo
_chemical_formula_sum 'Nd4 Y4 Co4'
_space_group_name_H-M_alt 'F -4 3 m'
_space_group_IT_number 216
_space_group_name_Hall 'F -4 2 3'
_cell_length_a 6.688
_cell_length_b 6.688
_cell_length_c 6.688
_cell_angle_alpha 90.00
_cell_angle_beta 90.00
_cell_angle_gamma 90.00
loop_
_atom_site_label
_atom_site_type_symbol
_atom_site_fract_x
_atom_site_fract_y
_atom_site_fract_z
Nd1 Nd 0.000 0.000 0.000
Y1 Y 0.250 0.250 0.750
Co1 Co 0.000 0.000 0.500

***

Entry 6:
# PBE-GGA CsTbNiTe3, optimized geometry
# Offset from the most stable computed form ... 150 meV/atom
data_CsTbNiTe3
_chemical_formula_sum 'Cs4 Tb4 Ni4 Te12'
_space_group_name_H-M_alt 'C 1 2/m 1'
_space_group_IT_number 12
_cell_length_a 17.269
_cell_length_b 4.550
_cell_length_c 10.372
_cell_angle_alpha 90.00
_cell_angle_beta 91.59
_cell_angle_gamma 90.00
loop_
_space_group_symop_operation_xyz
'x,y,z'
'-x,-y,-z'
'-x,y,-z'
'x,-y,z'
'x+1/2,y+1/2,z'
'-x+1/2,-y+1/2,-z'
'-x+1/2,y+1/2,-z'
'x+1/2,-y+1/2,z'
loop_
_atom_site_label
_atom_site_type_symbol
_atom_site_fract_x
_atom_site_fract_y
_atom_site_fract_z
Cs1 Cs 0.156 0.000 0.091
Tb1 Tb 0.162 0.000 0.590
Ni1 Ni 0.006 0.500 0.374
Te1 Te 0.000 0.000 0.500
Te2 Te 0.000 0.500 0.000
Te3 Te 0.114 0.500 0.780
Te4 Te 0.161 0.500 0.377

***

no.,E_tot (eV/atom)
1,-7.7965
2,-3.6751
3,-5.8826
4,-5.7267
5,-5.3248
6,-4.1720